DFT (GGA-PBEsol) results for AgSe2Br after structural relaxation.

## Properties
* E_tot: -3.089 eV per atom
* ΔE_f (raw): 0.132 eV/atom

a = 4.0805 Å, b = 5.4532 Å, c = 5.4532 Å
α = 82.83°, β = 68.03°, γ = 68.03°
Closest atoms and distances in Å follow each position.
Sites, in units of the cell vectors:
Se 0.5000 0.7620 0.2380  2 Se 2.44
Br 0.5000 0.2834 0.7166  2 Ag 2.60
Ag 0.0000 0.5063 0.4937  2 Br 2.60, 2 Se 2.75
Se 0.0000 0.9483 0.0517  2 Se 2.44

---

DFT (GGA-PBEsol) results for AgSeBr after structural relaxation.

## Properties
* E_tot: -2.964 eV per atom
* ΔE_f (raw): 0.047 eV/atom

a = 3.8744 Å, b = 3.8744 Å, c = 5.1530 Å
α = 90.00°, β = 90.00°, γ = 120.00°
Closest atoms and distances in Å follow each position.
Sites, in units of the cell vectors:
Ag 0.0000 0.0000 0.0185  3 Se 2.60, 3 Br 2.76
Br 0.3333 0.6667 0.7055  3 Ag 2.76
Se 0.6667 0.3333 0.2761  3 Ag 2.60

---

DFT (GGA-PBEsol) results for Ag2SeBr after structural relaxation.

## Properties
* offset from the most stable computed form: 0.038 eV/atom
* E_tot: -3.158 eV per atom
* ΔE_f (raw): -0.072 eV/atom

a = 3.5801 Å, b = 4.3410 Å, c = 6.5515 Å
α = 90.25°, β = 90.00°, γ = 114.35°
Closest atoms and distances in Å follow each position.
Sites, in units of the cell vectors:
Br 0.5007 0.0014 0.5251  5 Ag 2.76-2.87
Ag 0.0541 0.1082 0.1937  3 Se 2.59-2.62, 2 Br 2.85
Ag 0.1902 0.3804 0.7507  2 Se 2.61, 3 Br 2.76-2.87
Se 0.7550 0.5100 0.0305  5 Ag 2.59-2.62

---

DFT (GGA-PBEsol) results for Ag2SeBr after structural relaxation.

## Properties
* offset from the most stable computed form: 0.483 eV/atom
* E_tot: -2.713 eV per atom
* ΔE_f (raw): 0.373 eV/atom

a = 4.8274 Å, b = 4.8274 Å, c = 4.8274 Å
α = 60.00°, β = 60.00°, γ = 60.00°
Closest atoms and distances in Å follow each position.
Sites, in units of the cell vectors:
Ag 0.0000 0.0000 0.0000  4 Ag 2.96, 4 Se 2.96
Ag 0.2500 0.2500 0.2500  4 Br 2.96, 4 Ag 2.96
Br 0.5000 0.5000 0.5000  4 Se 2.96, 4 Ag 2.96
Se 0.7500 0.7500 0.7500  4 Br 2.96, 4 Ag 2.96

---

DFT (GGA-PBEsol) results for Ag2SeBr after structural relaxation.

## Properties
* offset from the most stable computed form: 0.185 eV/atom
* E_tot: -3.011 eV per atom
* ΔE_f (raw): 0.075 eV/atom

a = 3.3421 Å, b = 3.3421 Å, c = 7.1688 Å
α = 90.00°, β = 90.00°, γ = 90.00°
Closest atoms and distances in Å follow each position.
Sites, in units of the cell vectors:
Ag 0.0000 0.0000 0.7245  4 Se 2.86, 4 Br 3.08
Ag 0.0000 0.0000 0.2755  4 Se 2.86, 4 Br 3.08
Se 0.5000 0.5000 0.5000  8 Ag 2.86
Br 0.5000 0.5000 0.0000  8 Ag 3.08, 4 Br 3.34

---

DFT (GGA-PBEsol) results for AgSe2Br2 after structural relaxation.

## Properties
* E_tot: -2.593 eV per atom
* ΔE_f (raw): 0.357 eV/atom

a = 5.6521 Å, b = 5.6521 Å, c = 5.6521 Å
α = 95.72°, β = 116.75°, γ = 116.75°
Closest atoms and distances in Å follow each position.
Sites, in units of the cell vectors:
Se 0.0000 0.6424 0.6424  1 Se 2.16
Ag 0.0000 0.0000 0.0000  2 Se 2.71
Br 0.5000 0.2500 0.7500  4 Se 3.07
Br 0.5000 0.7500 0.2500  4 Se 3.07
Se 0.0000 0.3576 0.3576  1 Se 2.16

---

DFT (GGA-PBEsol) results for Ag2SeBr after structural relaxation.

## Properties
* offset from the most stable computed form: 0.000 eV/atom
* E_tot: -3.196 eV per atom
* ΔE_f (raw): -0.110 eV/atom

a = 3.8553 Å, b = 3.8476 Å, c = 6.9679 Å
α = 73.93°, β = 73.94°, γ = 59.93°
Closest atoms and distances in Å follow each position.
Sites, in units of the cell vectors:
Ag 0.2422 0.7428 0.7728  3 Se 2.68, 3 Br 2.86
Br 0.0000 0.5000 0.5000  6 Ag 2.86
Se 0.5000 0.0000 0.0000  6 Ag 2.68
Ag 0.7578 0.2572 0.2272  3 Se 2.68, 3 Br 2.86

---

DFT (GGA-PBEsol) results for AgSn2SeBr after structural relaxation.

## Properties
* E_tot: -3.245 eV per atom
* ΔE_f (raw): 0.265 eV/atom

a = 4.7905 Å, b = 5.6540 Å, c = 5.6540 Å
α = 90.00°, β = 90.00°, γ = 90.00°
Closest atoms and distances in Å follow each position.
Sites, in units of the cell vectors:
Ag 0.5000 0.0000 0.0000  2 Se 2.40
Br 0.5000 0.5000 0.5000  8 Sn 3.71, 4 Ag 4.00
Sn 0.0000 0.0000 0.5000  2 Se 2.83
Se 0.0000 0.0000 0.0000  2 Ag 2.40
Sn 0.0000 0.5000 0.0000  2 Se 2.83